Na8Zr3Si16SnH16O52 | SCAN | single point on PBEsol structure

Calculated values
M_tot: 0.00 Bohr magnetons per cell
symmetry: No. 2
raw total energy: -0.3600 hartree per atom
DOS(E_F): 0.00 states/eV/atom

POSCAR file:
```
Na8Zr3Si16SnH16O52
1.0
7.554 -0.002 -0.012
-0.011 8.879 0.013
-0.462 -0.076 16.798
Si O Zr H Na Sn
16 52 3 16 8 1
Direct
0.389 0.337 0.082
0.388 0.159 0.585
0.882 0.157 0.081
0.249 0.562 0.841
0.749 0.558 0.341
0.113 0.658 0.416
0.751 0.438 0.159
0.887 0.342 0.584
0.250 0.056 0.156
0.752 0.061 0.661
0.612 0.841 0.415
0.251 0.442 0.659
0.118 0.843 0.919
0.248 0.939 0.339
0.750 0.944 0.844
0.611 0.663 0.918
0.642 0.703 0.683
0.615 0.047 0.893
0.947 0.230 0.513
0.062 0.730 0.989
0.360 0.205 0.818
0.615 0.456 0.391
0.385 0.953 0.107
0.451 0.228 0.011
0.183 0.761 0.341
0.114 0.460 0.890
0.251 0.504 0.750
0.550 0.730 0.486
0.142 0.696 0.183
0.185 0.740 0.842
0.242 0.036 0.557
0.320 0.232 0.158
0.258 0.534 0.443
0.886 0.540 0.110
0.358 0.297 0.317
0.261 0.972 0.943
0.680 0.768 0.842
0.758 0.964 0.443
0.242 0.458 0.055
0.640 0.795 0.182
0.758 0.542 0.945
0.950 0.553 0.378
0.938 0.270 0.011
0.749 0.496 0.250
0.885 0.959 0.610
0.049 0.054 0.118
0.550 0.443 0.121
0.053 0.770 0.487
0.742 0.466 0.557
0.817 0.239 0.659
0.142 0.802 0.683
0.951 0.946 0.882
0.450 0.557 0.879
0.858 0.304 0.817
0.815 0.260 0.158
0.683 0.735 0.340
0.317 0.265 0.660
0.549 0.772 0.989
0.050 0.447 0.622
0.246 0.996 0.247
0.858 0.198 0.317
0.549 0.055 0.624
0.451 0.945 0.376
0.385 0.544 0.609
0.450 0.270 0.514
0.739 0.028 0.057
0.754 0.004 0.753
0.115 0.041 0.390
0.000 0.000 0.500
0.000 0.500 0.000
0.500 0.500 0.500
0.849 0.207 0.258
0.353 0.212 0.759
0.647 0.788 0.241
0.151 0.707 0.241
0.562 0.881 0.168
0.939 0.388 0.831
0.061 0.612 0.169
0.938 0.112 0.330
0.438 0.383 0.330
0.062 0.888 0.670
0.849 0.293 0.759
0.562 0.617 0.670
0.649 0.714 0.742
0.351 0.286 0.258
0.438 0.119 0.832
0.151 0.793 0.742
0.390 0.815 0.603
0.388 0.683 0.102
0.612 0.317 0.898
0.891 0.687 0.604
0.110 0.189 0.896
0.890 0.811 0.104
0.610 0.185 0.397
0.109 0.313 0.396
0.500 0.000 0.000
```

=====

Na2TiSi4H4O13 | SCAN | single point on PBEsol structure

Calculated values
energy above the most stable polymorph in this dataset: 0 kJ/mol of formula units
M_tot: 0.00 Bohr magnetons per cell
symmetry: No. 14
raw total energy: -0.3356 hartree per atom
DOS(E_F): 0.00 states/eV/atom

POSCAR file:
```
Na2TiSi4H4O13
1.0
-5.958 -1.562 -4.120
5.070 -4.384 -5.668
1.595 -6.214 6.233
O H Si Ti Na
26 8 8 2 4
Direct
0.569 0.219 0.021
0.433 0.552 0.768
0.567 0.448 0.232
0.711 0.962 0.213
0.789 0.462 0.787
0.155 0.760 0.683
0.069 0.281 0.021
0.931 0.719 0.979
0.963 0.297 0.638
0.431 0.781 0.979
0.182 0.538 0.899
0.463 0.203 0.638
0.655 0.740 0.683
0.318 0.038 0.101
0.345 0.260 0.317
0.682 0.962 0.899
0.537 0.797 0.362
0.500 0.500 0.500
0.818 0.462 0.101
0.067 0.052 0.232
0.000 0.000 0.500
0.845 0.240 0.317
0.211 0.538 0.213
0.037 0.703 0.362
0.933 0.948 0.768
0.289 0.038 0.787
0.102 0.616 0.330
0.898 0.384 0.670
0.911 0.291 0.518
0.089 0.709 0.482
0.602 0.884 0.330
0.411 0.209 0.518
0.589 0.791 0.482
0.398 0.116 0.670
0.095 0.942 0.686
0.803 0.839 0.840
0.303 0.661 0.840
0.405 0.442 0.314
0.595 0.558 0.686
0.197 0.161 0.160
0.905 0.058 0.314
0.697 0.339 0.160
0.000 0.500 0.000
0.500 0.000 0.000
0.286 0.311 0.804
0.214 0.811 0.196
0.786 0.189 0.804
0.714 0.689 0.196
```

=====

Na2TiSi4H4O13 | SCAN | single point on PBEsol structure

Calculated values
energy above the most stable polymorph in this dataset: 26 kJ/mol of formula units
M_tot: 0.00 Bohr magnetons per cell
symmetry: No. 90
raw total energy: -0.3351 hartree per atom
DOS(E_F): 0.00 states/eV/atom

POSCAR file:
```
Na2TiSi4H4O13
1.0
7.350 0.000 0.000
0.000 7.350 0.000
0.000 0.000 10.727
O Si H Ti Na
26 8 8 2 4
Direct
0.753 0.961 0.324
0.461 0.747 0.324
0.039 0.247 0.676
0.889 0.269 0.261
0.848 0.848 0.000
0.111 0.731 0.261
0.713 0.713 0.500
0.269 0.889 0.739
0.152 0.152 0.000
0.539 0.253 0.324
0.000 0.500 0.055
0.769 0.611 0.261
0.247 0.039 0.324
0.747 0.461 0.676
0.611 0.769 0.739
0.253 0.539 0.676
0.961 0.753 0.676
0.731 0.111 0.739
0.652 0.348 0.000
0.348 0.652 0.000
0.213 0.787 0.500
0.231 0.389 0.261
0.500 0.000 0.945
0.787 0.213 0.500
0.287 0.287 0.500
0.389 0.231 0.739
0.757 0.680 0.646
0.820 0.257 0.646
0.320 0.243 0.354
0.680 0.757 0.354
0.180 0.743 0.646
0.257 0.820 0.354
0.743 0.180 0.354
0.243 0.320 0.646
0.128 0.284 0.013
0.716 0.872 0.987
0.628 0.216 0.987
0.284 0.128 0.987
0.872 0.716 0.013
0.784 0.372 0.013
0.372 0.784 0.987
0.216 0.628 0.013
0.500 0.000 0.783
0.000 0.500 0.217
0.500 0.500 0.836
0.000 0.000 0.164
0.000 0.000 0.836
0.500 0.500 0.164
```

=====

Na2ZrSi4H4O13 | SCAN | single point on PBEsol structure

Calculated values
M_tot: 0.00 Bohr magnetons per cell
symmetry: No. 14
raw total energy: -0.3603 hartree per atom
DOS(E_F): 0.00 states/eV/atom

POSCAR file:
```
Na2ZrSi4H4O13
1.0
-5.481 -0.865 -5.167
-6.054 -0.412 6.491
1.592 8.760 2.041
Si Zr Na O H
8 2 4 26 8
Direct
0.909 0.941 0.318
0.091 0.059 0.682
0.197 0.841 0.167
0.697 0.659 0.167
0.803 0.159 0.833
0.591 0.441 0.682
0.303 0.341 0.833
0.409 0.559 0.318
0.000 0.500 0.000
0.500 0.000 0.000
0.715 0.314 0.207
0.285 0.686 0.793
0.215 0.186 0.207
0.785 0.814 0.793
0.316 0.964 0.114
0.725 0.042 0.218
0.433 0.230 0.973
0.842 0.764 0.318
0.073 0.945 0.244
0.184 0.464 0.886
0.658 0.264 0.682
0.043 0.299 0.365
0.427 0.445 0.756
0.067 0.730 0.027
0.275 0.958 0.782
0.000 0.000 0.500
0.816 0.536 0.114
0.500 0.500 0.500
0.342 0.736 0.318
0.567 0.770 0.027
0.457 0.799 0.635
0.927 0.055 0.756
0.775 0.542 0.782
0.225 0.458 0.218
0.158 0.236 0.682
0.933 0.270 0.973
0.957 0.701 0.635
0.543 0.201 0.365
0.684 0.036 0.886
0.573 0.555 0.244
0.093 0.289 0.482
0.391 0.885 0.661
0.907 0.711 0.518
0.593 0.211 0.482
0.109 0.385 0.339
0.891 0.615 0.661
0.407 0.789 0.518
0.609 0.115 0.339
```

=====

Na2TeHO | SCAN | single point on PBEsol structure

Calculated values
M_tot: 0.00 Bohr magnetons per cell
symmetry: No. 123
raw total energy: -0.4313 hartree per atom
DOS(E_F): 0.18 states/eV/atom

POSCAR file:
```
Na2TeHO
1.0
-2.341 1.471 -0.453
-0.273 -1.984 -5.035
-2.964 -4.164 1.801
H Te O Na
1 1 1 2
Direct
0.000 0.000 0.000
0.500 0.500 0.500
0.500 0.000 0.000
0.000 0.500 0.000
0.000 0.000 0.500
```

=====

Na2Te2H4O7 | SCAN | single point on PBEsol structure

Calculated values
M_tot: 0.00 Bohr magnetons per cell
symmetry: No. 2
raw total energy: -0.3924 hartree per atom
DOS(E_F): 0.00 states/eV/atom

POSCAR file:
```
Na2Te2H4O7
1.0
-3.093 -4.653 0.137
5.513 -1.958 1.801
-3.249 2.870 10.633
O H Na Te
14 8 4 4
Direct
0.151 0.421 0.384
0.537 0.741 0.318
0.269 0.947 0.499
0.770 0.996 0.955
0.123 0.894 0.279
0.655 0.483 0.881
0.230 0.004 0.045
0.849 0.579 0.616
0.463 0.259 0.682
0.921 0.229 0.181
0.877 0.106 0.721
0.731 0.053 0.501
0.079 0.771 0.819
0.345 0.517 0.119
0.293 0.537 0.359
0.937 0.660 0.689
0.707 0.463 0.641
0.410 0.613 0.193
0.063 0.340 0.311
0.188 0.413 0.139
0.812 0.587 0.861
0.590 0.387 0.807
0.604 0.286 0.052
0.396 0.714 0.948
0.105 0.288 0.568
0.895 0.712 0.432
0.948 0.936 0.136
0.052 0.064 0.864
0.543 0.984 0.638
0.457 0.016 0.362
```

=====

Na4VHO5 | SCAN | single point on PBEsol structure

Calculated values
M_tot: 0.00 Bohr magnetons per cell
symmetry: No. 62
raw total energy: -0.3081 hartree per atom
DOS(E_F): 0.00 states/eV/atom

POSCAR file:
```
Na4VHO5
1.0
7.431 0.000 0.000
0.000 8.251 0.000
0.000 0.000 8.965
O Na V H
20 16 4 4
Direct
0.250 0.654 0.882
0.940 0.733 0.130
0.060 0.267 0.870
0.560 0.733 0.130
0.250 0.021 0.016
0.250 0.479 0.516
0.750 0.969 0.294
0.940 0.767 0.630
0.560 0.767 0.630
0.750 0.154 0.618
0.750 0.346 0.118
0.250 0.469 0.206
0.440 0.267 0.870
0.750 0.979 0.984
0.750 0.521 0.484
0.750 0.531 0.794
0.250 0.031 0.706
0.060 0.233 0.370
0.440 0.233 0.370
0.250 0.846 0.382
0.000 0.000 0.500
0.513 0.153 0.128
0.013 0.653 0.372
0.250 0.757 0.127
0.250 0.743 0.627
0.513 0.347 0.628
0.987 0.347 0.628
0.013 0.847 0.872
0.987 0.153 0.128
0.000 0.500 0.000
0.487 0.653 0.372
0.750 0.257 0.373
0.500 0.500 0.000
0.500 0.000 0.500
0.750 0.243 0.873
0.487 0.847 0.872
0.750 0.649 0.638
0.750 0.851 0.138
0.250 0.149 0.862
0.250 0.351 0.362
0.750 0.451 0.168
0.250 0.549 0.832
0.750 0.049 0.668
0.250 0.951 0.332
```

=====

NaZnH3O3 | SCAN | single point on PBEsol structure

Calculated values
M_tot: 0.00 Bohr magnetons per cell
symmetry: No. 106
raw total energy: -0.2653 hartree per atom
DOS(E_F): 0.00 states/eV/atom

POSCAR file:
```
NaZnH3O3
1.0
5.216 0.000 0.000
0.000 10.713 0.000
0.000 0.000 10.713
H Na O Zn
24 8 24 8
Direct
0.432 0.808 0.140
0.735 0.822 0.645
0.235 0.145 0.322
0.415 0.359 0.977
0.932 0.860 0.808
0.915 0.023 0.359
0.932 0.140 0.192
0.735 0.322 0.855
0.415 0.641 0.023
0.235 0.355 0.822
0.235 0.855 0.678
0.432 0.692 0.640
0.415 0.141 0.477
0.735 0.178 0.355
0.932 0.360 0.692
0.915 0.477 0.859
0.932 0.640 0.308
0.432 0.192 0.860
0.915 0.977 0.641
0.432 0.308 0.360
0.415 0.859 0.523
0.235 0.645 0.178
0.735 0.678 0.145
0.915 0.523 0.141
0.456 0.379 0.591
0.956 0.091 0.879
0.456 0.621 0.409
0.956 0.409 0.379
0.956 0.591 0.621
0.456 0.121 0.091
0.956 0.909 0.121
0.456 0.879 0.909
0.927 0.135 0.100
0.422 0.627 0.182
0.922 0.182 0.373
0.866 0.436 0.168
0.866 0.564 0.832
0.927 0.635 0.400
0.866 0.064 0.668
0.366 0.168 0.564
0.427 0.100 0.865
0.922 0.818 0.627
0.922 0.682 0.127
0.366 0.832 0.436
0.427 0.600 0.635
0.366 0.332 0.064
0.422 0.127 0.318
0.427 0.900 0.135
0.866 0.936 0.332
0.927 0.865 0.900
0.927 0.365 0.600
0.366 0.668 0.936
0.422 0.373 0.818
0.922 0.318 0.873
0.422 0.873 0.682
0.427 0.400 0.365
0.487 0.946 0.310
0.487 0.554 0.810
0.987 0.690 0.946
0.987 0.310 0.054
0.987 0.190 0.554
0.487 0.054 0.690
0.487 0.446 0.190
0.987 0.810 0.446
```

=====

NaZr2HO | SCAN | single point on PBEsol structure

Calculated values
M_tot: 0.00 Bohr magnetons per cell
symmetry: No. 123
raw total energy: -0.5636 hartree per atom
DOS(E_F): 0.96 states/eV/atom

POSCAR file:
```
NaZr2HO
1.0
-0.158 -4.287 0.049
0.023 -0.050 -4.289
4.501 -0.165 0.026
Zr H Na O
2 1 1 1
Direct
0.500 0.000 0.000
0.000 0.500 0.000
0.500 0.500 0.500
0.000 0.000 0.500
0.000 0.000 0.000
```